Record 1
Entry from the Alexandria database: crystalline Rb4U3AgTe8 at its relaxed geometry (PBE-GGA).

Structure (extended XYZ):
```
16
Lattice="9.1010 0.0000 0.0000 0.0000 9.9785 0.6119 -4.5505 -4.5498 6.4404" Properties=species:S:1:pos:R:3 pbc="T T T"
Ag 0.0000 4.9893 0.3060
Te 4.5505 4.8715 3.4406
Te 4.5505 0.6192 3.6001
Te 2.3106 2.8580 0.4350
Te -2.2399 2.5707 6.6173
Te 0.0000 0.5572 3.6117
Te 0.0000 4.8095 3.4522
Te 6.7904 2.8580 0.4350
Te 2.2399 2.5707 6.6173
Rb 0.0000 0.0000 0.0000
Rb 4.5505 0.0000 0.0000
Rb -2.2752 -2.2749 3.2202
Rb 2.2752 -2.2749 3.2202
U 2.2752 2.7144 3.5262
U 4.5505 4.9893 0.3060
U -2.2752 2.7144 3.5262
```

Total magnetization, μB/f.u.: 7.00
Crystal system: trigonal
Formation energy without anion corrections, eV per atom: -0.77
Theoretical density, g/cm³: 5.945
N(E_F), states/eV/atom: 0.8307

---

Record 2
Entry from the Alexandria database: crystalline Sb2IrICl at its relaxed geometry (PBE-GGA).

Structure (extended XYZ):
```
5
Lattice="-2.1452 2.1102 -4.3004 1.1363 -4.3533 -2.7030 -4.6307 -2.0258 1.3160" Properties=species:S:1:pos:R:3 pbc="T T T"
Sb -1.0726 1.0551 -2.1502
Sb 0.5682 -2.1767 -1.3515
Ir -2.8198 -2.1345 -2.8437
I -2.3154 -1.0129 0.6580
Cl 0.0000 0.0000 0.0000
```

ΔE to the lowest computed polymorph, meV per atom: 1244
Total magnetization, μB/f.u.: 0.86
Crystal system: tetragonal
Formation energy without anion corrections, eV per atom: 1.56
Theoretical density, g/cm³: 6.902
N(E_F), states/eV/atom: 0.8467

---

Record 3
Entry from the Alexandria database: crystalline Pm6Ir3Ru at its relaxed geometry (PBE-GGA).

Structure (extended XYZ):
```
20
Lattice="-1.2121 -2.0123 3.9039 4.4101 -11.0650 -4.3344 4.6673 9.7351 6.4673" Properties=species:S:1:pos:R:3 pbc="T T T"
Ru 2.7597 -8.6252 0.3990
Ru 5.1055 5.2829 5.6378
Pm 6.8269 -4.4602 1.1500
Pm 4.5025 -10.4150 -2.6413
Pm 6.0766 -0.9881 5.3656
Pm 4.8090 -6.7327 -0.6480
Pm 1.7887 -2.3542 0.6713
Pm 3.7814 0.2179 2.6158
Pm 1.0383 1.1180 4.8869
Pm 4.0839 -3.5601 3.4210
Pm 3.3628 7.0727 8.6781
Pm 1.8233 -5.8942 1.5160
Pm 6.0420 2.5520 4.5209
Pm 3.0563 3.3904 6.6848
Ir 3.8943 0.6468 5.5307
Ir 1.0251 -1.5718 3.4963
Ir 3.9710 -3.9891 0.5061
Ir 6.8402 -1.7705 2.5406
Ir 4.8629 -6.1679 2.3187
Ir 3.0024 2.8256 3.7182
```

ΔE_f, kJ/mol of atoms: -45.46
ΔE to the lowest computed polymorph, meV per atom: 0
Total magnetization, μB/f.u.: 0.00
Crystal system: monoclinic
Theoretical density, g/cm³: 10.221
N(E_F), states/eV/atom: 0.5275

---

Record 4
Entry from the Alexandria database: crystalline LiRu2 at its relaxed geometry (PBE-GGA).

Structure (extended XYZ):
```
6
Lattice="-5.3314 1.2311 -4.8729 5.1689 -3.6668 3.6770 -2.9574 -1.2378 2.9230" Properties=species:S:1:pos:R:3 pbc="T T T"
Ru 1.8894 -4.1000 5.0050
Ru -1.4029 -1.2557 -0.3414
Ru -1.7169 -2.4178 2.0685
Ru -5.0092 0.4265 -3.2778
Li 2.0888 -2.8844 2.5018
Li -5.2086 -0.7891 -0.7747
```

ΔE_f, kJ/mol of atoms: 15.89
Total magnetization, μB/f.u.: 0.00
Crystal system: orthorhombic
Theoretical density, g/cm³: 8.178
N(E_F), states/eV/atom: 0.9086

---

Record 5
Entry from the Alexandria database: crystalline YPaF6 at its relaxed geometry (PBE-GGA).

Structure (extended XYZ):
```
8
Lattice="5.1449 0.0217 0.0057 -1.8939 4.7837 0.0057 -0.5859 -0.8660 5.7474" Properties=species:S:1:pos:R:3 pbc="T T T"
F 2.2236 3.2868 1.2125
F 1.0063 3.8788 4.2660
F -0.5608 1.5623 1.4928
F 3.2260 2.3771 4.2660
F 1.6588 0.0607 1.4928
F 0.4415 0.6527 4.5464
Y 0.0000 0.0000 0.0000
Pa 1.3326 1.9697 2.8794
```

Total magnetization, μB/f.u.: 1.95
Crystal system: monoclinic
Formation energy without anion corrections, eV per atom: -3.63
Theoretical density, g/cm³: 5.084
N(E_F), states/eV/atom: 0.4281

---

Record 6
Entry from the Alexandria database: crystalline Cs4ErPa3O12 at its relaxed geometry (PBE-GGA).

Structure (extended XYZ):
```
20
Lattice="-6.1646 4.6803 0.1854 -0.8144 -5.5530 5.3332 6.3967 4.0970 1.4962" Properties=species:S:1:pos:R:3 pbc="T T T"
O 0.0607 2.2957 0.4398
O 1.0464 -0.9462 4.7943
O -1.8254 -0.2283 1.4434
O -1.6287 4.1705 2.2204
O -5.1537 -0.6445 4.0752
O 0.1714 6.4816 1.2418
O 4.1223 -1.0752 5.0432
O 1.5116 4.0247 2.5481
O -2.0939 -0.8004 4.4666
O -3.4315 1.7580 3.1797
O 2.8492 1.4663 3.8351
O 1.4601 -0.3808 1.7862
Pa -3.4895 -0.4364 2.7593
Pa 0.1160 4.3887 0.8408
Pa 2.7912 -0.7280 3.4147
Er 0.0000 0.0000 0.0000
Cs 3.1984 2.0485 0.7481
Cs -0.2912 1.6122 3.5074
Cs -0.4072 -2.7765 2.6666
Cs -3.0823 2.3402 0.0927
```

Total magnetization, μB/f.u.: 1.81
Crystal system: cubic
Formation energy without anion corrections, eV per atom: -2.78
Theoretical density, g/cm³: 7.362
N(E_F), states/eV/atom: 1.0283

---

Record 7
Entry from the Alexandria database: crystalline TmCdInBr6 at its relaxed geometry (PBE-GGA).

Structure (extended XYZ):
```
18
Lattice="-4.2312 -5.8163 -0.7849 7.1718 -0.6189 -0.7282 1.1995 -2.7865 14.1826" Properties=species:S:1:pos:R:3 pbc="T T T"
Br 2.5992 -5.8540 8.1076
Br 4.9125 -5.2819 3.9008
Br 2.0470 -4.4391 1.0165
Br 5.7575 -3.1359 0.9587
Br 2.8082 -0.6411 1.6983
Br 1.5410 -3.3676 4.5620
Br 1.3319 -8.5805 10.9713
Br 4.9580 -1.4222 4.6553
Br -0.7724 -3.9397 8.7688
Br 2.0932 -4.7825 11.6531
Br -1.6173 -6.0857 11.7109
Br -0.8178 -7.7995 8.0143
In 0.5998 -1.3932 7.0913
In 0.0000 0.0000 0.0000
Cd 4.2705 -4.4412 9.8899
Cd -0.1303 -4.7804 2.7797
Tm 3.6707 -3.0480 2.7986
Tm 0.4695 -6.1737 9.8710
```

Total magnetization, μB/f.u.: 0.00
Crystal system: trigonal
Formation energy without anion corrections, eV per atom: -1.26
Theoretical density, g/cm³: 4.423
N(E_F), states/eV/atom: 0.0000

---

Record 8
Entry from the Alexandria database: crystalline AlIn2TcAs at its relaxed geometry (PBE-GGA).

Structure (extended XYZ):
```
5
Lattice="-3.4347 1.5402 3.5172 0.2267 -4.1776 2.0508 3.8315 1.6829 3.0046" Properties=species:S:1:pos:R:3 pbc="T T T"
As 0.3118 -0.4772 4.2863
In -1.7173 0.7701 1.7586
In 1.9158 0.8415 1.5023
Tc 0.1134 -2.0888 1.0254
Al 0.0000 0.0000 0.0000
```

ΔE_f, kJ/mol of atoms: 93.63
Total magnetization, μB/f.u.: 1.55
Crystal system: tetragonal
Theoretical density, g/cm³: 5.768
N(E_F), states/eV/atom: 0.8060